A plane-wave DFT calculation with meta-GGA SCAN was carried out for CuHg3Te at its PBEsol-relaxed geometry.

Computed properties:
Space-group type: No. 221
Density (g/cm³): 7.4
Formation energy from raw total energies (meV/atom): 754
M_tot (μB per cell): 0.00

Unit cell a=5.613 b=5.613 c=5.613 alpha=90.00 beta=90.00 gamma=90.00
Positions (direct):
Cu1 0.000 0.000 0.000
Hg1 0.000 0.500 0.500
Hg2 0.500 0.000 0.500
Hg3 0.500 0.500 0.000
Te1 0.500 0.500 0.500